No. 1
Density functional theory data (PBE) for Ca2Zn6IrRh after structural relaxation. Values from VASP.

Output
Final energy (eV per atom): -3.002
Volume (Å³/cell): 221.4

```
&SYSTEM
  ibrav = 0, nat = 10, ntyp = 4
/
ATOMIC_SPECIES
Ca 40.08 Ca.upf
Zn 65.41 Zn.upf
Ir 192.22 Ir.upf
Rh 102.91 Rh.upf
ATOMIC_POSITIONS angstrom
Ca -5.0803 0.2288 -6.1267
Ca -5.3899 4.4347 -3.8315
Zn -1.8904 -0.1476 -5.0268
Zn -9.4514 3.6856 -8.0287
Zn -4.2209 1.3474 -3.0385
Zn -2.2013 4.0752 -2.7223
Zn -1.0188 0.9780 -1.9295
Zn -6.2493 3.3162 -6.9197
Ir -2.0458 1.9638 -3.8745
Rh 0.0000 0.0000 0.0000
CELL_PARAMETERS angstrom
-2.3555 6.1697 -1.5793
-1.7361 -2.2421 -6.1698
-6.3786 0.7360 -2.2091
```

---

No. 2
Density functional theory data (PBE) for Mn4ReOs after structural relaxation. Values from VASP.

Output
Final energy (eV per atom): -10.084
Volume (Å³/cell): 71.6

```
&SYSTEM
  ibrav = 0, nat = 6, ntyp = 3
/
ATOMIC_SPECIES
Mn 54.94 Mn.upf
Os 190.23 Os.upf
Re 186.21 Re.upf
ATOMIC_POSITIONS angstrom
Mn -2.3808 -4.2148 -2.4047
Mn -4.5333 -4.4574 -3.2225
Mn -4.1539 -3.1976 -1.3173
Mn -3.4580 -2.4130 -3.3815
Os -1.8157 -1.7853 -1.2907
Re 0.0000 0.0000 0.0000
CELL_PARAMETERS angstrom
-4.3340 -0.4885 -1.6468
-0.7639 -2.5365 -3.8363
-2.1651 -4.1164 0.3201
```

---

No. 3
Density functional theory data (PBE) for ScFe2 after structural relaxation. Values from VASP.

Output
Final energy (eV per atom): -7.695
Volume (Å³/cell): 90.6

```
&SYSTEM
  ibrav = 0, nat = 6, ntyp = 2
/
ATOMIC_SPECIES
Sc 44.96 Sc.upf
Fe 55.84 Fe.upf
ATOMIC_POSITIONS angstrom
Sc 0.0000 0.0000 0.0000
Sc 0.0000 1.8806 3.2036
Fe 1.8806 0.0000 4.2712
Fe 1.8806 0.0000 2.1361
Fe 0.0000 0.0000 7.4748
Fe 0.0000 0.0000 5.3397
CELL_PARAMETERS angstrom
-1.8806 1.8806 6.4073
1.8806 -1.8806 6.4073
1.8806 1.8806 -6.4073
```

---

Please write out number 3 again, unchanged.
Density functional theory data (PBE) for ScFe2 after structural relaxation. Values from VASP.

Output
Final energy (eV per atom): -7.695
Volume (Å³/cell): 90.6

```
&SYSTEM
  ibrav = 0, nat = 6, ntyp = 2
/
ATOMIC_SPECIES
Sc 44.96 Sc.upf
Fe 55.84 Fe.upf
ATOMIC_POSITIONS angstrom
Sc 0.0000 0.0000 0.0000
Sc 0.0000 1.8806 3.2036
Fe 1.8806 0.0000 4.2712
Fe 1.8806 0.0000 2.1361
Fe 0.0000 0.0000 7.4748
Fe 0.0000 0.0000 5.3397
CELL_PARAMETERS angstrom
-1.8806 1.8806 6.4073
1.8806 -1.8806 6.4073
1.8806 1.8806 -6.4073
```